VFeCuAu: relaxed, PBE-GGA.

Cell lengths 6.0767, 6.0767, 6.0767 Å; angles 90.00, 90.00, 90.00 degrees
Space group F-43m (No. 216)
Unique sites:
V1 0.0000 0.0000 0.0000 x4
Fe1 0.2500 0.2500 0.7500 x4
Cu1 0.2500 0.2500 0.2500 x4
Au1 0.0000 0.0000 0.5000 x4

## Properties
Theoretical density ... 10.873 g cm⁻³
ΔH_f (0 K) ... 0.11 eV per atom



ScSb2Pd6: relaxed, PBE-GGA.

Cell lengths 9.0833, 4.2826, 8.3766 Å; angles 90.00, 108.15, 90.00 degrees
Space group C2/m (No. 12)
Unique sites:
Sc1 0.0000 0.0000 0.0000 x2
Sb1 0.1955 0.5000 0.2511 x4
Pd1 0.0087 0.0000 0.3231 x4
Pd2 0.1531 0.5000 0.9048 x4
Pd3 0.1607 0.5000 0.5615 x4

## Properties
Uncorrected formation energy ... -574 meV/atom
Theoretical density ... 9.943 g cm⁻³



SrZnSn2: relaxed, PBE-GGA.

Cell lengths 4.7377, 4.7377, 4.7237 Å; angles 90.00, 90.00, 90.00 degrees
Space group P4/mmm (No. 123)
Unique sites:
Sr1 0.0000 0.0000 0.0000 x1
Zn1 0.5000 0.5000 0.0000 x1
Sn1 0.0000 0.5000 0.5000 x2

## Properties
Theoretical density ... 6.115 g cm⁻³
ΔH_f (0 K) ... -0.28 eV per atom



no.,energy (eV per atom)
1,-6.13
2,-5.66
3,-3.02